[1]
{
  "formula": "CsReSb2Te",
  "functional": "GGA-PBE",
  "state": "relaxed",
  "total_magnetization_mub_per_fu": 0.0,
  "mass_density_g_cm3": 6.96,
  "e_form_raw_ev_per_atom": 0.293,
  "de_polymorph_mev_per_atom": 0,
  "cell": [[-4.716, 2.139, -0.439], [-1.338, -2.004, 4.605], [2.025, 5.035, 2.779]],
  "species": ["Cs", "Te", "Sb", "Sb", "Re"],
  "fractional_positions": [[0.500, 0.500, 0.500], [0.000, 0.000, 0.500], [0.500, 0.000, 0.000], [0.000, 0.500, 0.000], [0.000, 0.000, 0.000]]
}


[2]
{
  "formula": "Ca4Al3Pd2",
  "functional": "GGA-PBE",
  "state": "relaxed",
  "total_magnetization_mub_per_fu": 0.0,
  "mass_density_g_cm3": 3.40,
  "formation_energy_ev_per_atom": -0.51,
  "cell": [[0.434, 3.996, -0.958], [1.667, -1.815, -6.820], [-7.947, -1.033, 1.000]],
  "species": ["Ca", "Pd", "Ca", "Al", "Al", "Al", "Ca", "Pd", "Ca"],
  "fractional_positions": [[0.770, 0.318, 0.539], [0.589, 0.438, 0.178], [0.230, 0.682, 0.461], [0.908, 0.778, 0.816], [0.000, 0.500, 0.000], [0.092, 0.222, 0.184], [0.416, 0.122, 0.833], [0.411, 0.562, 0.822], [0.584, 0.878, 0.167]]
}


[3]
{
  "formula": "Dy2Si3Ni4Ge",
  "functional": "GGA-PBE",
  "state": "relaxed",
  "total_magnetization_mub_per_fu": 0.0,
  "mass_density_g_cm3": 7.83,
  "e_form_raw_ev_per_atom": -0.800,
  "cell": [[3.998, 0.000, 0.000], [0.000, 3.998, 0.000], [0.000, 0.000, 9.509]],
  "species": ["Si", "Ge", "Ni", "Si", "Ni", "Dy", "Ni", "Ni", "Si", "Dy"],
  "fractional_positions": [[0.000, 0.500, 0.126], [0.500, 0.500, 0.500], [0.000, 0.000, 0.000], [0.500, 0.000, 0.874], [0.000, 0.500, 0.369], [0.000, 0.500, 0.753], [0.500, 0.500, 0.000], [0.500, 0.000, 0.631], [0.000, 0.000, 0.500], [0.500, 0.000, 0.247]]
}


[4]
{
  "formula": "LiZn4SnO8",
  "functional": "GGA-PBE",
  "state": "relaxed",
  "total_magnetization_mub_per_fu": 2.8,
  "mass_density_g_cm3": 5.44,
  "e_form_raw_ev_per_atom": -1.215,
  "cell": [[3.032, -5.251, 0.000], [3.032, 5.251, 0.000], [0.000, 0.000, 9.888]],
  "species": ["O", "O", "Zn", "O", "O", "Li", "Sn", "O", "O", "Zn", "O", "O", "Zn", "Zn", "Sn", "O", "O", "O", "Zn", "O", "Zn", "O", "Zn", "O", "Zn", "O", "Li", "O"],
  "fractional_positions": [[0.000, 0.000, 0.024], [0.485, 0.971, 0.983], [0.832, 0.664, 0.618], [0.162, 0.838, 0.736], [0.162, 0.324, 0.736], [0.000, 0.000, 0.336], [0.667, 0.333, 0.337], [0.667, 0.333, 0.722], [0.838, 0.676, 0.236], [0.667, 0.333, 0.927], [0.838, 0.162, 0.236], [0.515, 0.029, 0.483], [0.168, 0.336, 0.118], [0.168, 0.832, 0.118], [0.333, 0.667, 0.837], [0.029, 0.515, 0.983], [0.971, 0.485, 0.483], [0.676, 0.838, 0.736], [0.832, 0.168, 0.618], [0.515, 0.485, 0.483], [0.336, 0.168, 0.618], [0.485, 0.515, 0.983], [0.333, 0.667, 0.427], [0.333, 0.667, 0.222], [0.664, 0.832, 0.118], [0.324, 0.162, 0.236], [0.000, 0.000, 0.836], [0.000, 0.000, 0.524]]
}


[5]
{
  "formula": "Na3TlS3",
  "functional": "GGA-PBE",
  "state": "relaxed",
  "total_magnetization_mub_per_fu": 0.0,
  "mass_density_g_cm3": 3.39,
  "e_form_raw_ev_per_atom": -0.735,
  "cell": [[-0.120, -7.490, 0.469], [5.183, 2.741, -4.686], [4.116, 0.759, 5.740]],
  "species": ["S", "S", "S", "Tl", "S", "Tl", "Na", "Na", "Na", "Na", "S", "Na", "Na", "S"],
  "fractional_positions": [[0.827, 0.505, 0.723], [0.495, 0.173, 0.277], [0.905, 0.905, 0.233], [0.789, 0.789, 0.882], [0.505, 0.827, 0.723], [0.211, 0.211, 0.118], [0.242, 0.758, 0.000], [0.614, 0.614, 0.371], [0.824, 0.176, 0.500], [0.176, 0.824, 0.500], [0.095, 0.095, 0.767], [0.386, 0.386, 0.629], [0.758, 0.242, 0.000], [0.173, 0.495, 0.277]]
}


[6]
{
  "formula": "CoTcCl2",
  "functional": "GGA-PBE",
  "state": "relaxed",
  "total_magnetization_mub_per_fu": 0.0,
  "mass_density_g_cm3": 4.41,
  "e_form_raw_ev_per_atom": -0.017,
  "de_polymorph_mev_per_atom": 0,
  "cell": [[-2.141, 2.763, -1.261], [-3.555, -0.341, -1.028], [-2.038, 1.468, 7.175]],
  "species": ["Co", "Tc", "Cl", "Cl"],
  "fractional_positions": [[0.492, 0.492, 0.304], [0.183, 0.183, 0.428], [0.747, 0.747, 0.654], [0.078, 0.078, 0.114]]
}